[1]
# V4CdRu5 | the Alexandria database | GGA-PBE | relaxed
data_V4CdRu5
_space_group_name_H-M_alt 'P 4/m m m'
_space_group_IT_number 123
_space_group_name_Hall '-P 4 2'
_cell_length_a 3.0121
_cell_length_b 3.0121
_cell_length_c 15.8279
_cell_angle_alpha 90.00
_cell_angle_beta 90.00
_cell_angle_gamma 90.00
loop_
_atom_site_label
_atom_site_fract_x
_atom_site_fract_y
_atom_site_fract_z
V1 0.0000 0.0000 0.0964
V2 0.0000 0.0000 0.2915
Cd1 0.0000 0.0000 0.5000
Ru1 0.5000 0.5000 0.0000
Ru2 0.5000 0.5000 0.1881
Ru3 0.5000 0.5000 0.3716
# - E_tot: -85.99 eV per cell

=====

[2]
# VCdRu2W | the Alexandria database | GGA-PBE | relaxed
data_VCdRu2W
_space_group_name_H-M_alt 'P 4/m m m'
_space_group_IT_number 123
_space_group_name_Hall '-P 4 2'
_cell_length_a 4.4946
_cell_length_b 4.4946
_cell_length_c 4.5606
_cell_angle_alpha 90.00
_cell_angle_beta 90.00
_cell_angle_gamma 90.00
loop_
_atom_site_label
_atom_site_fract_x
_atom_site_fract_y
_atom_site_fract_z
V1 0.0000 0.0000 0.0000
Cd1 0.5000 0.5000 0.5000
Ru1 0.0000 0.5000 0.0000
W1 0.0000 0.0000 0.5000
# - E_tot: -35.48 eV per cell

=====

[3]
# Cd2RuW | the Alexandria database | GGA-PBE | relaxed
data_Cd2RuW
_space_group_name_H-M_alt 'P m m m'
_space_group_IT_number 47
_space_group_name_Hall '-P 2 2'
_cell_length_a 3.0784
_cell_length_b 4.6011
_cell_length_c 4.9048
_cell_angle_alpha 90.00
_cell_angle_beta 90.00
_cell_angle_gamma 90.00
loop_
_atom_site_label
_atom_site_fract_x
_atom_site_fract_y
_atom_site_fract_z
Cd1 0.0000 0.0000 0.0000
Cd2 0.5000 0.5000 0.0000
Ru1 0.0000 0.5000 0.5000
W1 0.5000 0.0000 0.5000
# - Energy relative to the lowest polymorph listed for this composition: 0.383 eV/atom

=====

[4]
# CdRu3W | the Alexandria database | GGA-PBE | relaxed
data_CdRu3W
_space_group_name_H-M_alt 'P m -3 m'
_space_group_IT_number 221
_space_group_name_Hall '-P 4 2 3'
_cell_length_a 4.7033
_cell_length_b 4.7033
_cell_length_c 4.7033
_cell_angle_alpha 90.00
_cell_angle_beta 90.00
_cell_angle_gamma 90.00
loop_
_atom_site_label
_atom_site_fract_x
_atom_site_fract_y
_atom_site_fract_z
Cd1 0.0000 0.0000 0.0000
Ru1 0.0000 0.5000 0.5000
W1 0.5000 0.5000 0.5000
# - Energy relative to the lowest polymorph listed for this composition: 0.000 eV/atom

=====

[5]
# CdRu4W | the Alexandria database | GGA-PBE | relaxed
data_CdRu4W
_space_group_name_H-M_alt 'F -4 3 m'
_space_group_IT_number 216
_space_group_name_Hall 'F -4 2 3'
_cell_length_a 7.2255
_cell_length_b 7.2255
_cell_length_c 7.2255
_cell_angle_alpha 90.00
_cell_angle_beta 90.00
_cell_angle_gamma 90.00
loop_
_atom_site_label
_atom_site_fract_x
_atom_site_fract_y
_atom_site_fract_z
Cd1 0.0000 0.0000 0.0000
Ru1 0.1252 0.1252 0.6252
W1 0.2500 0.2500 0.2500
# - E_tot: -193.50 eV per cell

=====

[6]
# CdRuW2 | the Alexandria database | GGA-PBE | relaxed
data_CdRuW2
_space_group_name_H-M_alt 'I -4 2 d'
_space_group_IT_number 122
_space_group_name_Hall 'I -4 2bw'
_cell_length_a 7.4264
_cell_length_b 7.4264
_cell_length_c 5.3507
_cell_angle_alpha 90.00
_cell_angle_beta 90.00
_cell_angle_gamma 90.00
loop_
_atom_site_label
_atom_site_fract_x
_atom_site_fract_y
_atom_site_fract_z
Cd1 0.0000 0.0000 0.0000
Ru1 0.0000 0.0000 0.5000
W1 0.2009 0.7500 0.6250
# - E_tot: -129.30 eV per cell

=====

[7]
# CdRuW2 | the Alexandria database | GGA-PBE | relaxed
data_CdRuW2
_space_group_name_H-M_alt 'R -3 m'
_space_group_IT_number 166
_space_group_name_Hall '-R 3 2"'
_cell_length_a 2.8234
_cell_length_b 2.8234
_cell_length_c 28.6898
_cell_angle_alpha 90.00
_cell_angle_beta 90.00
_cell_angle_gamma 120.00
loop_
_atom_site_label
_atom_site_fract_x
_atom_site_fract_y
_atom_site_fract_z
Cd1 0.0000 0.0000 0.0000
Ru1 0.0000 0.0000 0.5000
W1 0.0000 0.0000 0.2433
# - E_tot: -103.88 eV per cell

=====

[8]
# Cd2RuW | the Alexandria database | GGA-PBE | relaxed
data_Cd2RuW
_space_group_name_H-M_alt 'P 4/m m m'
_space_group_IT_number 123
_space_group_name_Hall '-P 4 2'
_cell_length_a 3.8884
_cell_length_b 3.8884
_cell_length_c 4.6070
_cell_angle_alpha 90.00
_cell_angle_beta 90.00
_cell_angle_gamma 90.00
loop_
_atom_site_label
_atom_site_fract_x
_atom_site_fract_y
_atom_site_fract_z
Cd1 0.0000 0.5000 0.0000
Ru1 0.0000 0.0000 0.5000
W1 0.5000 0.5000 0.5000
# - Energy relative to the lowest polymorph listed for this composition: 0.462 eV/atom

=====

[9]
# Cd2RuW | the Alexandria database | GGA-PBE | relaxed
data_Cd2RuW
_space_group_name_H-M_alt 'P 4 m m'
_space_group_IT_number 99
_space_group_name_Hall 'P 4 -2'
_cell_length_a 3.0095
_cell_length_b 3.0095
_cell_length_c 8.0283
_cell_angle_alpha 90.00
_cell_angle_beta 90.00
_cell_angle_gamma 90.00
loop_
_atom_site_label
_atom_site_fract_x
_atom_site_fract_y
_atom_site_fract_z
Cd1 0.0000 0.0000 0.0000
Cd2 0.5000 0.5000 0.2943
Ru1 0.0000 0.0000 0.5506
W1 0.5000 0.5000 0.7305
# - Energy relative to the lowest polymorph listed for this composition: 0.000 eV/atom

=====

[10]
# CdRuW2 | the Alexandria database | GGA-PBE | relaxed
data_CdRuW2
_space_group_name_H-M_alt 'P 4/m m m'
_space_group_IT_number 123
_space_group_name_Hall '-P 4 2'
_cell_length_a 2.8304
_cell_length_b 2.8304
_cell_length_c 8.2374
_cell_angle_alpha 90.00
_cell_angle_beta 90.00
_cell_angle_gamma 90.00
loop_
_atom_site_label
_atom_site_fract_x
_atom_site_fract_y
_atom_site_fract_z
Cd1 0.0000 0.0000 0.0000
Ru1 0.0000 0.0000 0.5000
W1 0.5000 0.5000 0.2771
# - E_tot: -34.71 eV per cell

=====

[11]
# Cd2RuW | the Alexandria database | GGA-PBE | relaxed
data_Cd2RuW
_space_group_name_H-M_alt 'F -4 3 m'
_space_group_IT_number 216
_space_group_name_Hall 'F -4 2 3'
_cell_length_a 6.5052
_cell_length_b 6.5052
_cell_length_c 6.5052
_cell_angle_alpha 90.00
_cell_angle_beta 90.00
_cell_angle_gamma 90.00
loop_
_atom_site_label
_atom_site_fract_x
_atom_site_fract_y
_atom_site_fract_z
Cd1 0.0000 0.0000 0.0000
Cd2 0.2500 0.2500 0.2500
Ru1 0.0000 0.0000 0.5000
W1 0.2500 0.2500 0.7500
# - Energy relative to the lowest polymorph listed for this composition: 0.361 eV/atom

=====

[12]
# Cd2RuW | the Alexandria database | GGA-PBE | relaxed
data_Cd2RuW
_space_group_name_H-M_alt 'P 1 2/m 1'
_space_group_IT_number 10
_space_group_name_Hall '-P 2y'
_cell_length_a 4.6771
_cell_length_b 3.0246
_cell_length_c 5.0059
_cell_angle_alpha 90.00
_cell_angle_beta 101.87
_cell_angle_gamma 90.00
loop_
_atom_site_label
_atom_site_fract_x
_atom_site_fract_y
_atom_site_fract_z
Cd1 0.0000 0.0000 0.0000
Cd2 0.5000 0.5000 0.0000
Ru1 0.0000 0.5000 0.5000
W1 0.5000 0.0000 0.5000
# - Energy relative to the lowest polymorph listed for this composition: 0.369 eV/atom

=====

[13]
# Cd2RuW | the Alexandria database | GGA-PBE | relaxed
data_Cd2RuW
_space_group_name_H-M_alt 'C 1 m 1'
_space_group_IT_number 8
_space_group_name_Hall 'C -2y'
_cell_length_a 9.1718
_cell_length_b 2.9046
_cell_length_c 5.3097
_cell_angle_alpha 90.00
_cell_angle_beta 98.13
_cell_angle_gamma 90.00
loop_
_atom_site_label
_atom_site_fract_x
_atom_site_fract_y
_atom_site_fract_z
Cd1 0.0000 0.0000 0.0000
Cd2 0.2441 0.0000 0.7654
Ru1 0.4966 0.0000 0.4672
W1 0.2538 0.5000 0.2946
# - Energy relative to the lowest polymorph listed for this composition: 0.277 eV/atom

=====

Number 1: theoretical density 9.5 g/cm3, size of the total moment 0.00 Bohr magnetons per cell, Fermi-level density of states 7.87 states/eV/f.u.. Number 2: theoretical density 9.9 g/cm3, size of the total moment 0.00 Bohr magnetons per cell, Fermi-level density of states 5.96 states/eV/f.u.. Number 3: theoretical density 12.2 g/cm3, size of the total moment 0.00 Bohr magnetons per cell, Fermi-level density of states 2.71 states/eV/f.u.. Number 4: theoretical density 9.6 g/cm3, size of the total moment 1.52 Bohr magnetons per cell, Fermi-level density of states 5.26 states/eV/f.u.. Number 5: theoretical density 12.3 g/cm3, size of the total moment 0.00 Bohr magnetons per cell, Fermi-level density of states 7.45 states/eV/f.u.. Number 6: theoretical density 13.1 g/cm3, size of the total moment 0.00 Bohr magnetons per cell, Fermi-level density of states 1.77 states/eV/f.u.. Number 7: theoretical density 14.6 g/cm3, size of the total moment 0.00 Bohr magnetons per cell, Fermi-level density of states 3.85 states/eV/f.u.. Number 8: theoretical density 12.2 g/cm3, size of the total moment 0.00 Bohr magnetons per cell, Fermi-level density of states 3.92 states/eV/f.u.. Number 9: theoretical density 11.6 g/cm3, size of the total moment 0.00 Bohr magnetons per cell, Fermi-level density of states 2.28 states/eV/f.u.. Number 10: theoretical density 14.6 g/cm3, size of the total moment 0.00 Bohr magnetons per cell, Fermi-level density of states 3.02 states/eV/f.u.. Number 11: theoretical density 12.3 g/cm3, size of the total moment 0.00 Bohr magnetons per cell, Fermi-level density of states 0.57 states/eV/f.u.. Number 12: theoretical density 12.2 g/cm3, size of the total moment 0.00 Bohr magnetons per cell, Fermi-level density of states 2.77 states/eV/f.u.. Number 13: theoretical density 12.1 g/cm3, size of the total moment 0.00 Bohr magnetons per cell, Fermi-level density of states 3.97 states/eV/f.u..